[1]
This record from Alexandria describes crystalline KCrCu2 at its relaxed geometry. The functional is PBEsol.

Lattice parameters (Å, degrees): 3.063 3.148 7.850 90.00 90.00 90.00
Element x y z (fractional)
Cr 0.500 0.500 0.840
K 0.000 0.000 0.476
Cu 0.000 0.000 0.021
Cu 0.500 0.500 0.163

N(E_F) = 0.492 states/eV/atom
VASP energy = -4.258 eV/atom
formation energy = 0.75 eV per atom
M_tot = 1.08 μB/atom

=====

[2]
This record from Alexandria describes crystalline KCrCu at its relaxed geometry. The functional is PBEsol.

Lattice parameters (Å, degrees): 5.012 5.012 5.012 60.00 60.00 60.00
Element x y z (fractional)
Cu 0.500 0.500 0.500
Cr 0.000 0.000 0.000
K 0.250 0.250 0.250

N(E_F) = 0.531 states/eV/atom
VASP energy = -3.470 eV/atom
formation energy = 1.77 eV per atom
M_tot = 1.83 μB/atom

=====

[3]
This record from Alexandria describes crystalline K2CrCu at its relaxed geometry. The functional is PBEsol.

Lattice parameters (Å, degrees): 5.001 4.746 4.746 90.00 90.00 90.00
Element x y z (fractional)
Cu 0.500 0.000 0.000
Cr 0.500 0.500 0.500
K 0.000 0.500 0.000
K 0.000 0.000 0.500

N(E_F) = 0.378 states/eV/atom
VASP energy = -3.140 eV/atom
formation energy = 1.07 eV per atom
M_tot = 1.23 μB/atom
E above lowest polymorph = 201.7 meV per atom

=====

[4]
This record from Alexandria describes crystalline KCrCu3 at its relaxed geometry. The functional is PBEsol.

Lattice parameters (Å, degrees): 4.741 4.741 4.741 90.00 90.00 90.00
Element x y z (fractional)
Cu 0.000 0.500 0.000
Cu 0.500 0.000 0.000
Cu 0.000 0.000 0.500
K 0.500 0.500 0.500
Cr 0.000 0.000 0.000

N(E_F) = 0.717 states/eV/atom
VASP energy = -3.830 eV/atom
formation energy = 1.05 eV per atom
M_tot = 0.86 μB/atom

=====

Question: Which value of N(E_F) does entry 2 give?
Answer: 0.531 states/eV/atom